Below is crystalline MnCr3H at its relaxed geometry, with properties calculated at the PBE-GGA level.

total DFT energy (no corrections) = -0.2976 hartree per atom
magnetic moment = 0.13 μB per atom
SG = Pm-3m, No. 221

Cell: 3.650 3.650 3.650 Å, 90.00 90.00 90.00°
Element x y z (fractional)
Cr: 0.000 0.500 0.000
Cr: 0.000 0.000 0.500
Cr: 0.500 0.000 0.000
Mn: 0.500 0.500 0.500
H: 0.000 0.000 0.000